1.
Material: ErVAgO4
Method: DFT, GGA+U
State: relaxed

Total moment: 1.000 μB per formula unit
Raw total energy: -98.19 eV per cell
Symmetry: No. 11

Unit cell a=5.9284 b=6.0949 c=6.8476 alpha=90.00 beta=110.31 gamma=90.00
Closest atoms and distances in Å follow each position.
Element x y z (fractional)
Er 0.8177 0.7500 0.4633  6 O 2.22-2.34
Er 0.1823 0.2500 0.5367  6 O 2.22-2.34
V 0.2562 0.7500 0.3131  4 O 1.83-1.84
V 0.7438 0.2500 0.6869  4 O 1.83-1.84
Ag 0.4731 0.7500 0.8731  2 O 2.11
Ag 0.5269 0.2500 0.1269  2 O 2.11
O 0.9513 0.4684 0.6771  1 V 1.83
O 0.0487 0.9684 0.3229  1 V 1.83
O 0.0487 0.5316 0.3229  1 V 1.83
O 0.9513 0.0316 0.6771  1 V 1.83
O 0.4771 0.7500 0.1821  1 V 1.83
O 0.5229 0.2500 0.8179  1 V 1.83
O 0.4950 0.7500 0.5714  1 V 1.84
O 0.5050 0.2500 0.4286  1 V 1.84

=====

2.
Material: RbVF3
Method: DFT, GGA+U
State: relaxed

Total moment: 3.000 μB per formula unit
Raw total energy: -108.17 eV per cell
D(E_F): 0.0 states/eV per cell
Symmetry: No. 51

Unit cell a=20.4277 b=6.0652 c=7.9140 alpha=90.00 beta=159.37 gamma=90.00
Closest atoms and distances in Å follow each position.
Element x y z (fractional)
V 0.1359 0.2500 0.6359  5 F 1.99-2.15
V 0.8641 0.7500 0.3641  5 F 1.99-2.15
V 0.3641 0.7500 0.8641  5 F 1.99-2.15
V 0.6359 0.2500 0.1359  5 F 1.99-2.15
Rb 0.3859 0.7500 0.3859  3 F 2.69-3.00
Rb 0.6141 0.2500 0.6141  3 F 2.69-3.00
Rb 0.1141 0.2500 0.1141  3 F 2.69-3.00
Rb 0.8859 0.7500 0.8859  3 F 2.69-3.00
F 0.2500 0.0000 0.7500  2 V 2.15
F 0.7500 0.0000 0.2500  2 V 2.15
F 0.2500 0.5000 0.7500  2 V 2.15
F 0.7500 0.5000 0.2500  2 V 2.15
F 0.3888 0.2500 0.3888  2 V 2.14
F 0.6112 0.7500 0.6112  2 V 2.14
F 0.1112 0.7500 0.1112  2 V 2.14
F 0.8888 0.2500 0.8888  2 V 2.14
F 0.5134 0.7500 0.0133  1 V 1.99
F 0.4866 0.2500 0.9867  1 V 1.99
F 0.9866 0.2500 0.4867  1 V 1.99
F 0.0134 0.7500 0.5133  1 V 1.99

=====

Please write out number 2 again, unchanged.
Material: RbVF3
Method: DFT, GGA+U
State: relaxed

Total moment: 3.000 μB per formula unit
Raw total energy: -108.17 eV per cell
D(E_F): 0.0 states/eV per cell
Symmetry: No. 51

Unit cell a=20.4277 b=6.0652 c=7.9140 alpha=90.00 beta=159.37 gamma=90.00
Closest atoms and distances in Å follow each position.
Element x y z (fractional)
V 0.1359 0.2500 0.6359  5 F 1.99-2.15
V 0.8641 0.7500 0.3641  5 F 1.99-2.15
V 0.3641 0.7500 0.8641  5 F 1.99-2.15
V 0.6359 0.2500 0.1359  5 F 1.99-2.15
Rb 0.3859 0.7500 0.3859  3 F 2.69-3.00
Rb 0.6141 0.2500 0.6141  3 F 2.69-3.00
Rb 0.1141 0.2500 0.1141  3 F 2.69-3.00
Rb 0.8859 0.7500 0.8859  3 F 2.69-3.00
F 0.2500 0.0000 0.7500  2 V 2.15
F 0.7500 0.0000 0.2500  2 V 2.15
F 0.2500 0.5000 0.7500  2 V 2.15
F 0.7500 0.5000 0.2500  2 V 2.15
F 0.3888 0.2500 0.3888  2 V 2.14
F 0.6112 0.7500 0.6112  2 V 2.14
F 0.1112 0.7500 0.1112  2 V 2.14
F 0.8888 0.2500 0.8888  2 V 2.14
F 0.5134 0.7500 0.0133  1 V 1.99
F 0.4866 0.2500 0.9867  1 V 1.99
F 0.9866 0.2500 0.4867  1 V 1.99
F 0.0134 0.7500 0.5133  1 V 1.99